# Nd3CCl PBE relaxed
# Raw formation energy = -0.3701 eV per atom
# D(E_F) = 4.171 states/eV per cell
data_Nd3CCl
_cell_length_a 3.693
_cell_length_b 9.308
_cell_length_c 7.429
_cell_angle_alpha 90.00
_cell_angle_beta 90.00
_cell_angle_gamma 90.00
_symmetry_space_group_name_H-M 'P 1'
_symmetry_Int_Tables_number 1
loop_
_symmetry_equiv_pos_as_xyz
'x,y,z'
loop_
_atom_site_label
_atom_site_fract_x
_atom_site_fract_y
_atom_site_fract_z
Nd1 0.250 0.074 0.170
Nd2 0.250 0.250 0.763
Nd3 0.250 0.426 0.170
Nd4 0.750 0.574 0.830
Nd5 0.750 0.750 0.237
Nd6 0.750 0.926 0.830
C1 0.250 0.750 0.012
C2 0.750 0.250 0.988
Cl1 0.250 0.750 0.564
Cl2 0.750 0.250 0.436